Compound: LiMg
Source: the Alexandria database
Functional: SCAN
Structure: single point on PBEsol structure

a b c (Å): 2.995 4.772 8.505
angles (deg): 90.00 91.49 90.00
Element x y z (fractional)
Li (0.000, 0.000, 0.000)
Li (0.111, 0.500, 0.832)
Li (0.270, 0.000, 0.329)
Mg (0.531, 0.000, 0.675)
Mg (0.575, 0.500, 0.153)
Mg (0.953, 0.500, 0.491)

- calculated volume (A^3/atom) = 20.25
- energy (eV/atom) = -3.73
- symmetry = No. 6

Compound: CaZnAs2Br
Source: the Alexandria database
Functional: SCAN
Structure: single point on PBEsol structure

a b c (Å): 4.667 4.667 5.701
angles (deg): 90.00 90.00 90.00
Element x y z (fractional)
Ca (0.000, 0.000, 0.000)
Zn (0.500, 0.500, 0.500)
As (0.000, 0.500, 0.500)
As (0.500, 0.000, 0.500)
Br (0.500, 0.500, 0.000)

- calculated volume (A^3/atom) = 24.84
- raw formation energy (eV/atom) = -0.323
- symmetry = No. 123